# 1
## GeP2SeS (meta-GGA SCAN)

Data for a crystal of GeP2SeS relaxed with PBEsol.

CIF file:
```
data_GeP2SeS
_cell_length_a 4.7119
_cell_length_b 4.7119
_cell_length_c 4.4593
_cell_angle_alpha 90.00
_cell_angle_beta 90.00
_cell_angle_gamma 90.00
_space_group_name_H-M_alt 'P 4/m m m'
_space_group_IT_number 123
_space_group_name_Hall '-P 4 2'
loop_
_atom_site_label
_atom_site_fract_x
_atom_site_fract_y
_atom_site_fract_z
Ge1 0.0000 0.0000 0.0000
P1 0.0000 0.5000 0.0000
Se1 0.5000 0.5000 0.5000
S1 0.0000 0.0000 0.5000
```

## Properties
Density of states at the Fermi level, states/eV per cell: 4.29
Spin magnetization, μB/atom: 0.00
Energy relative to the elements, uncorrected, eV per atom: 1.052

---

# 2
## SnGePS2 (meta-GGA SCAN)

Data for a crystal of SnGePS2 relaxed with PBEsol.

CIF file:
```
data_SnGePS2
_cell_length_a 4.6856
_cell_length_b 4.6856
_cell_length_c 4.6731
_cell_angle_alpha 90.00
_cell_angle_beta 90.00
_cell_angle_gamma 90.00
_space_group_name_H-M_alt 'P 4/m m m'
_space_group_IT_number 123
_space_group_name_Hall '-P 4 2'
loop_
_atom_site_label
_atom_site_fract_x
_atom_site_fract_y
_atom_site_fract_z
Sn1 0.0000 0.0000 0.0000
Ge1 0.5000 0.5000 0.5000
P1 0.5000 0.5000 0.0000
S1 0.0000 0.5000 0.5000
```

## Properties
Density of states at the Fermi level, states/eV per cell: 2.57
Spin magnetization, μB/atom: 0.00
Energy relative to the elements, uncorrected, eV per atom: 0.412

---

# 3
## TcGeP2S (meta-GGA SCAN)

Data for a crystal of TcGeP2S relaxed with PBEsol.

CIF file:
```
data_TcGeP2S
_cell_length_a 4.5703
_cell_length_b 4.5703
_cell_length_c 4.5059
_cell_angle_alpha 90.00
_cell_angle_beta 90.00
_cell_angle_gamma 90.00
_space_group_name_H-M_alt 'P 4/m m m'
_space_group_IT_number 123
_space_group_name_Hall '-P 4 2'
loop_
_atom_site_label
_atom_site_fract_x
_atom_site_fract_y
_atom_site_fract_z
Tc1 0.0000 0.0000 0.0000
Ge1 0.5000 0.5000 0.5000
P1 0.0000 0.5000 0.5000
S1 0.5000 0.5000 0.0000
```

## Properties
Density of states at the Fermi level, states/eV per cell: 2.51
Spin magnetization, μB/atom: 0.57
Energy relative to the elements, uncorrected, eV per atom: 1.269

---

# 4
## GeTeP2S (meta-GGA SCAN)

Data for a crystal of GeTeP2S relaxed with PBEsol.

CIF file:
```
data_GeTeP2S
_cell_length_a 5.0160
_cell_length_b 5.0160
_cell_length_c 4.9036
_cell_angle_alpha 90.00
_cell_angle_beta 90.00
_cell_angle_gamma 90.00
_space_group_name_H-M_alt 'P 4/m m m'
_space_group_IT_number 123
_space_group_name_Hall '-P 4 2'
loop_
_atom_site_label
_atom_site_fract_x
_atom_site_fract_y
_atom_site_fract_z
Ge1 0.0000 0.0000 0.0000
Te1 0.5000 0.5000 0.5000
P1 0.0000 0.5000 0.5000
S1 0.5000 0.5000 0.0000
```

## Properties
Density of states at the Fermi level, states/eV per cell: 4.56
Spin magnetization, μB/atom: 0.00
Energy relative to the elements, uncorrected, eV per atom: 1.205

---

# 5
## YGeP2S (meta-GGA SCAN)

Data for a crystal of YGeP2S relaxed with PBEsol.

CIF file:
```
data_YGeP2S
_cell_length_a 5.1570
_cell_length_b 5.1570
_cell_length_c 5.0321
_cell_angle_alpha 90.00
_cell_angle_beta 90.00
_cell_angle_gamma 90.00
_space_group_name_H-M_alt 'P 4/m m m'
_space_group_IT_number 123
_space_group_name_Hall '-P 4 2'
loop_
_atom_site_label
_atom_site_fract_x
_atom_site_fract_y
_atom_site_fract_z
Y1 0.0000 0.0000 0.0000
Ge1 0.5000 0.5000 0.5000
P1 0.0000 0.5000 0.0000
S1 0.0000 0.0000 0.5000
```

## Properties
Density of states at the Fermi level, states/eV per cell: 5.07
Spin magnetization, μB/atom: 0.00
Energy relative to the elements, uncorrected, eV per atom: 0.510

---

# 6
## Zn2GeSbP (meta-GGA SCAN)

Data for a crystal of Zn2GeSbP relaxed with PBEsol.

CIF file:
```
data_Zn2GeSbP
_cell_length_a 4.9209
_cell_length_b 4.9209
_cell_length_c 5.2607
_cell_angle_alpha 90.00
_cell_angle_beta 90.00
_cell_angle_gamma 90.00
_space_group_name_H-M_alt 'P 4/m m m'
_space_group_IT_number 123
_space_group_name_Hall '-P 4 2'
loop_
_atom_site_label
_atom_site_fract_x
_atom_site_fract_y
_atom_site_fract_z
Zn1 0.0000 0.5000 0.0000
Ge1 0.0000 0.0000 0.5000
Sb1 0.5000 0.5000 0.0000
P1 0.5000 0.5000 0.5000
```

## Properties
Density of states at the Fermi level, states/eV per cell: 3.21
Spin magnetization, μB/atom: 0.10
Energy relative to the elements, uncorrected, eV per atom: 0.990

---

# 7
## ScGe3P (meta-GGA SCAN)

Data for a crystal of ScGe3P relaxed with PBEsol.

CIF file:
```
data_ScGe3P
_cell_length_a 5.0025
_cell_length_b 5.0025
_cell_length_c 5.0025
_cell_angle_alpha 90.00
_cell_angle_beta 90.00
_cell_angle_gamma 90.00
_space_group_name_H-M_alt 'P m -3 m'
_space_group_IT_number 221
_space_group_name_Hall '-P 4 2 3'
loop_
_atom_site_label
_atom_site_fract_x
_atom_site_fract_y
_atom_site_fract_z
Sc1 0.0000 0.0000 0.0000
Ge1 0.0000 0.0000 0.5000
P1 0.5000 0.5000 0.5000
```

## Properties
Formation enthalpy at 0 K, eV per atom: 1.059
Density of states at the Fermi level, states/eV per cell: 4.62
Spin magnetization, μB/atom: 0.00

---

# 8
## ScGeP3 (meta-GGA SCAN)

Data for a crystal of ScGeP3 relaxed with PBEsol.

CIF file:
```
data_ScGeP3
_cell_length_a 4.8267
_cell_length_b 4.8267
_cell_length_c 4.8267
_cell_angle_alpha 90.00
_cell_angle_beta 90.00
_cell_angle_gamma 90.00
_space_group_name_H-M_alt 'P m -3 m'
_space_group_IT_number 221
_space_group_name_Hall '-P 4 2 3'
loop_
_atom_site_label
_atom_site_fract_x
_atom_site_fract_y
_atom_site_fract_z
Sc1 0.0000 0.0000 0.0000
Ge1 0.5000 0.5000 0.5000
P1 0.0000 0.0000 0.5000
```

## Properties
Formation enthalpy at 0 K, eV per atom: 0.631
Density of states at the Fermi level, states/eV per cell: 3.15
Spin magnetization, μB/atom: 0.00

---

# 9
## GeP2Se (meta-GGA SCAN)

Data for a crystal of GeP2Se relaxed with PBEsol.

CIF file:
```
data_GeP2Se
_cell_length_a 6.3979
_cell_length_b 6.3979
_cell_length_c 6.3979
_cell_angle_alpha 90.00
_cell_angle_beta 90.00
_cell_angle_gamma 90.00
_space_group_name_H-M_alt 'F m -3 m'
_space_group_IT_number 225
_space_group_name_Hall '-F 4 2 3'
loop_
_atom_site_label
_atom_site_fract_x
_atom_site_fract_y
_atom_site_fract_z
Ge1 0.0000 0.0000 0.0000
P1 0.2500 0.2500 0.2500
Se1 0.0000 0.0000 0.5000
```

## Properties
Density of states at the Fermi level, states/eV per cell: 6.91
Spin magnetization, μB/atom: 0.00
Energy relative to the elements, uncorrected, eV per atom: 0.787

---

# 10
## Sn3GeP (meta-GGA SCAN)

Data for a crystal of Sn3GeP relaxed with PBEsol.

CIF file:
```
data_Sn3GeP
_cell_length_a 5.0960
_cell_length_b 5.0960
_cell_length_c 5.0960
_cell_angle_alpha 90.00
_cell_angle_beta 90.00
_cell_angle_gamma 90.00
_space_group_name_H-M_alt 'P m -3 m'
_space_group_IT_number 221
_space_group_name_Hall '-P 4 2 3'
loop_
_atom_site_label
_atom_site_fract_x
_atom_site_fract_y
_atom_site_fract_z
Sn1 0.0000 0.0000 0.5000
Ge1 0.5000 0.5000 0.5000
P1 0.0000 0.0000 0.0000
```

## Properties
Formation enthalpy at 0 K, eV per atom: 0.707
Density of states at the Fermi level, states/eV per cell: 2.43
Spin magnetization, μB/atom: 0.00

---

# 11
## Sr3Ge2P4 (meta-GGA SCAN)

Data for a crystal of Sr3Ge2P4 relaxed with PBEsol.

CIF file:
```
data_Sr3Ge2P4
_cell_length_a 7.4026
_cell_length_b 17.9801
_cell_length_c 7.2156
_cell_angle_alpha 90.00
_cell_angle_beta 111.96
_cell_angle_gamma 90.00
_space_group_name_H-M_alt 'P 1 21/c 1'
_space_group_IT_number 14
loop_
_space_group_symop_operation_xyz
'x,y,z'
'-x,-y,-z'
'-x,y+1/2,-z+1/2'
'x,-y+1/2,z+1/2'
loop_
_atom_site_label
_atom_site_fract_x
_atom_site_fract_y
_atom_site_fract_z
Sr1 0.2162 0.1844 0.0106
Sr2 0.2567 0.0643 0.5121
Sr3 0.2608 0.5584 0.5048
Ge1 0.2112 0.6269 0.0264
Ge2 0.3140 0.7415 0.9083
P1 0.0089 0.5595 0.7560
P2 0.0449 0.6850 0.2182
P3 0.4919 0.5682 0.2389
P4 0.4979 0.7001 0.7184
```

## Properties
Formation enthalpy at 0 K, eV per atom: -0.921
Spin magnetization, μB/atom: 0.00

---

# 12
## Ta2GeP2 (meta-GGA SCAN)

Data for a crystal of Ta2GeP2 relaxed with PBEsol.

CIF file:
```
data_Ta2GeP2
_cell_length_a 3.4312
_cell_length_b 3.4312
_cell_length_c 13.1580
_cell_angle_alpha 90.00
_cell_angle_beta 90.00
_cell_angle_gamma 90.00
_space_group_name_H-M_alt 'I 4/m m m'
_space_group_IT_number 139
_space_group_name_Hall '-I 4 2'
loop_
_atom_site_label
_atom_site_fract_x
_atom_site_fract_y
_atom_site_fract_z
Ta1 0.0000 0.0000 0.1095
Ge1 0.0000 0.0000 0.5000
P1 0.0000 0.5000 0.2500
```

## Properties
Formation enthalpy at 0 K, eV per atom: -0.269
Density of states at the Fermi level, states/eV per cell: 5.08
Spin magnetization, μB/atom: 0.00

---

# 13
## GeTeP3 (meta-GGA SCAN)

Data for a crystal of GeTeP3 relaxed with PBEsol.

CIF file:
```
data_GeTeP3
_cell_length_a 4.6589
_cell_length_b 4.6589
_cell_length_c 4.6589
_cell_angle_alpha 90.00
_cell_angle_beta 90.00
_cell_angle_gamma 90.00
_space_group_name_H-M_alt 'P m -3 m'
_space_group_IT_number 221
_space_group_name_Hall '-P 4 2 3'
loop_
_atom_site_label
_atom_site_fract_x
_atom_site_fract_y
_atom_site_fract_z
Ge1 0.0000 0.0000 0.0000
Te1 0.5000 0.5000 0.5000
P1 0.0000 0.0000 0.5000
```

## Properties
Density of states at the Fermi level, states/eV per cell: 3.32
Spin magnetization, μB/atom: 0.00
Energy relative to the elements, uncorrected, eV per atom: 1.003

---

# 14
## TlGeP3 (meta-GGA SCAN)

Data for a crystal of TlGeP3 relaxed with PBEsol.

CIF file:
```
data_TlGeP3
_cell_length_a 4.7538
_cell_length_b 4.7538
_cell_length_c 4.7538
_cell_angle_alpha 90.00
_cell_angle_beta 90.00
_cell_angle_gamma 90.00
_space_group_name_H-M_alt 'P m -3 m'
_space_group_IT_number 221
_space_group_name_Hall '-P 4 2 3'
loop_
_atom_site_label
_atom_site_fract_x
_atom_site_fract_y
_atom_site_fract_z
Tl1 0.0000 0.0000 0.0000
Ge1 0.5000 0.5000 0.5000
P1 0.0000 0.5000 0.5000
```

## Properties
Formation enthalpy at 0 K, eV per atom: 0.887
Density of states at the Fermi level, states/eV per cell: 4.25
Spin magnetization, μB/atom: 0.00

---

# 15
## GeP3W (meta-GGA SCAN)

Data for a crystal of GeP3W relaxed with PBEsol.

CIF file:
```
data_GeP3W
_cell_length_a 4.6676
_cell_length_b 4.6676
_cell_length_c 4.6676
_cell_angle_alpha 90.00
_cell_angle_beta 90.00
_cell_angle_gamma 90.00
_space_group_name_H-M_alt 'P m -3 m'
_space_group_IT_number 221
_space_group_name_Hall '-P 4 2 3'
loop_
_atom_site_label
_atom_site_fract_x
_atom_site_fract_y
_atom_site_fract_z
Ge1 0.0000 0.0000 0.0000
P1 0.0000 0.5000 0.5000
W1 0.5000 0.5000 0.5000
```

## Properties
Formation enthalpy at 0 K, eV per atom: 0.777
Density of states at the Fermi level, states/eV per cell: 3.82
Spin magnetization, μB/atom: 0.00

---

# 16
## YGeP2 (meta-GGA SCAN)

Data for a crystal of YGeP2 relaxed with PBEsol.

CIF file:
```
data_YGeP2
_cell_length_a 6.7497
_cell_length_b 6.7497
_cell_length_c 7.1906
_cell_angle_alpha 90.00
_cell_angle_beta 90.00
_cell_angle_gamma 90.00
_space_group_name_H-M_alt 'I -4 2 d'
_space_group_IT_number 122
_space_group_name_Hall 'I -4 2bw'
loop_
_atom_site_label
_atom_site_fract_x
_atom_site_fract_y
_atom_site_fract_z
Y1 0.0000 0.0000 0.0000
Ge1 0.0000 0.0000 0.5000
P1 0.2000 0.7500 0.6250
```

## Properties
Formation enthalpy at 0 K, eV per atom: -0.482
Density of states at the Fermi level, states/eV per cell: 11.41
Spin magnetization, μB/atom: 0.00

---

# 17
## Zn2Ge2P (meta-GGA SCAN)

Data for a crystal of Zn2Ge2P relaxed with PBEsol.

CIF file:
```
data_Zn2Ge2P
_cell_length_a 3.4937
_cell_length_b 3.4937
_cell_length_c 14.1351
_cell_angle_alpha 90.00
_cell_angle_beta 90.00
_cell_angle_gamma 90.00
_space_group_name_H-M_alt 'I 4/m m m'
_space_group_IT_number 139
_space_group_name_Hall '-I 4 2'
loop_
_atom_site_label
_atom_site_fract_x
_atom_site_fract_y
_atom_site_fract_z
Zn1 0.0000 0.0000 0.0871
Ge1 0.0000 0.5000 0.2500
P1 0.0000 0.0000 0.5000
```

## Properties
Formation enthalpy at 0 K, eV per atom: 0.437
Density of states at the Fermi level, states/eV per cell: 4.65
Spin magnetization, μB/atom: 0.00

---

# 18
## PaGe3 (meta-GGA SCAN)

Data for a crystal of PaGe3 relaxed with PBEsol.

CIF file:
```
data_PaGe3
_cell_length_a 4.2111
_cell_length_b 4.2111
_cell_length_c 4.2111
_cell_angle_alpha 90.00
_cell_angle_beta 90.00
_cell_angle_gamma 90.00
_space_group_name_H-M_alt 'P m -3 m'
_space_group_IT_number 221
_space_group_name_Hall '-P 4 2 3'
loop_
_atom_site_label
_atom_site_fract_x
_atom_site_fract_y
_atom_site_fract_z
Pa1 0.0000 0.0000 0.0000
Ge1 0.0000 0.5000 0.5000
```

## Properties
Formation enthalpy at 0 K, eV per atom: -0.440
Density of states at the Fermi level, states/eV per cell: 2.73
Spin magnetization, μB/atom: 0.00

---

# 19
## Pa3Ge (meta-GGA SCAN)

Data for a crystal of Pa3Ge relaxed with PBEsol.

CIF file:
```
data_Pa3Ge
_cell_length_a 4.4233
_cell_length_b 4.4233
_cell_length_c 4.4233
_cell_angle_alpha 90.00
_cell_angle_beta 90.00
_cell_angle_gamma 90.00
_space_group_name_H-M_alt 'P m -3 m'
_space_group_IT_number 221
_space_group_name_Hall '-P 4 2 3'
loop_
_atom_site_label
_atom_site_fract_x
_atom_site_fract_y
_atom_site_fract_z
Pa1 0.0000 0.0000 0.5000
Ge1 0.5000 0.5000 0.5000
```

## Properties
Formation enthalpy at 0 K, eV per atom: -0.284
Density of states at the Fermi level, states/eV per cell: 8.09
Spin magnetization, μB/atom: 0.00

---

# 20
## GePdPb3 (meta-GGA SCAN)

Data for a crystal of GePdPb3 relaxed with PBEsol.

CIF file:
```
data_GePdPb3
_cell_length_a 5.2597
_cell_length_b 5.2597
_cell_length_c 5.2597
_cell_angle_alpha 90.00
_cell_angle_beta 90.00
_cell_angle_gamma 90.00
_space_group_name_H-M_alt 'P m -3 m'
_space_group_IT_number 221
_space_group_name_Hall '-P 4 2 3'
loop_
_atom_site_label
_atom_site_fract_x
_atom_site_fract_y
_atom_site_fract_z
Ge1 0.0000 0.0000 0.0000
Pd1 0.5000 0.5000 0.5000
Pb1 0.0000 0.5000 0.5000
```

## Properties
Formation enthalpy at 0 K, eV per atom: 0.332
Density of states at the Fermi level, states/eV per cell: 2.25
Spin magnetization, μB/atom: 0.00

---

DFT total energy across the listed records, respectively: -64.3; -82.6; -78.2; -80.7; -74.8; -88.8; -76.6; -61.4; -227.3; -133.7; -619.6; -348.8; -82.5; -118.2; -116.1; -278.6; -146.8; -158.7; -319.2; -277.5 eV for the cell shown.